Record 1
First-principles (PBE-GGA) data for crystalline CeVTc2 at its relaxed geometry, as listed in Alexandria.

Output
- polymorph energy (0 for the lowest one) (meV per atom) = 89
- total magnetization (μB per atom) = 0.0002
- energy of formation (kcal/mol of atoms) = 1.60
- DOS at the Fermi energy (states/eV/f.u.) = 3.877
- volume (A^3/atom) = 16.996

Cell lengths 4.6019, 4.6019, 3.2103 Å; angles 90.00, 90.00, 90.00 degrees
Space group P4/mmm (No. 123)
Inequivalent atoms, fractional coordinates:
Ce  0.0000  0.0000  0.0000 x1
V  0.5000  0.5000  0.0000 x1
Tc  0.0000  0.5000  0.5000 x2


Record 2
First-principles (PBE-GGA) data for crystalline CeVTc2 at its relaxed geometry, as listed in Alexandria.

Output
- polymorph energy (0 for the lowest one) (meV per atom) = 0
- total magnetization (μB per atom) = 0.0000
- energy of formation (kcal/mol of atoms) = -0.45
- DOS at the Fermi energy (states/eV/f.u.) = 6.356
- volume (A^3/atom) = 16.902

Cell lengths 3.0992, 3.0992, 7.0390 Å; angles 90.00, 90.00, 90.00 degrees
Space group P4/mmm (No. 123)
Inequivalent atoms, fractional coordinates:
Ce  0.0000  0.0000  0.0000 x1
V  0.0000  0.0000  0.5000 x1
Tc  0.5000  0.5000  0.2949 x2


Record 3
First-principles (PBE-GGA) data for crystalline CeVTc2 at its relaxed geometry, as listed in Alexandria.

Output
- polymorph energy (0 for the lowest one) (meV per atom) = 13
- total magnetization (μB per atom) = 0.0272
- energy of formation (kcal/mol of atoms) = -0.15
- DOS at the Fermi energy (states/eV/f.u.) = 4.344
- volume (A^3/atom) = 16.710

Cell lengths 6.4421, 6.4421, 6.4421 Å; angles 90.00, 90.00, 90.00 degrees
Space group Fm-3m (No. 225)
Inequivalent atoms, fractional coordinates:
Ce  0.0000  0.0000  0.0000 x4
V  0.0000  0.0000  0.5000 x4
Tc  0.2500  0.2500  0.2500 x8


Record 4
First-principles (PBE-GGA) data for crystalline CeV2Tc at its relaxed geometry, as listed in Alexandria.

Output
- polymorph energy (0 for the lowest one) (meV per atom) = 0
- total magnetization (μB per atom) = 0.0002
- energy of formation (kcal/mol of atoms) = 1.24
- DOS at the Fermi energy (states/eV/f.u.) = 7.704
- volume (A^3/atom) = 17.109

Cell lengths 3.0243, 3.0243, 7.4824 Å; angles 90.00, 90.00, 90.00 degrees
Space group P4/mmm (No. 123)
Inequivalent atoms, fractional coordinates:
Ce  0.0000  0.0000  0.0000 x1
V  0.5000  0.5000  0.3072 x2
Tc  0.0000  0.0000  0.5000 x1


Record 5
First-principles (PBE-GGA) data for crystalline CeV2Tc at its relaxed geometry, as listed in Alexandria.

Output
- polymorph energy (0 for the lowest one) (meV per atom) = 182
- total magnetization (μB per atom) = 0.1412
- energy of formation (kcal/mol of atoms) = 5.43
- DOS at the Fermi energy (states/eV/f.u.) = 6.804
- volume (A^3/atom) = 19.867

Cell lengths 4.1815, 4.1815, 15.7443 Å; angles 90.00, 90.00, 120.00 degrees
Space group R-3m (No. 166, hexagonal axes)
Inequivalent atoms, fractional coordinates:
Ce  0.0000  0.0000  0.0000 x3
V  0.0000  0.0000  0.2010 x6
Tc  0.0000  0.0000  0.5000 x3


Record 6
First-principles (PBE-GGA) data for crystalline CeVTc2 at its relaxed geometry, as listed in Alexandria.

Output
- polymorph energy (0 for the lowest one) (meV per atom) = 194
- total magnetization (μB per atom) = 0.0007
- energy of formation (kcal/mol of atoms) = 4.02
- DOS at the Fermi energy (states/eV/f.u.) = 5.996
- volume (A^3/atom) = 16.808

Cell lengths 2.9429, 2.9429, 26.8925 Å; angles 90.00, 90.00, 120.00 degrees
Space group R-3m (No. 166, hexagonal axes)
Inequivalent atoms, fractional coordinates:
Ce  0.0000  0.0000  0.0000 x3
V  0.0000  0.0000  0.5000 x3
Tc  0.0000  0.0000  0.2361 x6


Record 7
First-principles (PBE-GGA) data for crystalline Ce2VTc at its relaxed geometry, as listed in Alexandria.

Output
- total magnetization (μB per atom) = 0.1475
- energy of formation (kcal/mol of atoms) = 11.50
- DOS at the Fermi energy (states/eV/f.u.) = 8.154
- volume (A^3/atom) = 19.475

Cell lengths 3.0257, 3.0257, 29.4764 Å; angles 90.00, 90.00, 120.00 degrees
Space group R-3m (No. 166, hexagonal axes)
Inequivalent atoms, fractional coordinates:
Ce  0.0000  0.0000  0.0881 x6
V  0.0000  0.0000  0.0000 x3
Tc  0.0000  0.0000  0.5000 x3


Record 8
First-principles (PBE-GGA) data for crystalline CeTc2W at its relaxed geometry, as listed in Alexandria.

Output
- total magnetization (μB per atom) = 0.0000
- energy of formation (kcal/mol of atoms) = 3.11
- DOS at the Fermi energy (states/eV/f.u.) = 3.039
- volume (A^3/atom) = 17.604

Cell lengths 4.6910, 4.6910, 3.1999 Å; angles 90.00, 90.00, 90.00 degrees
Space group P4/mmm (No. 123)
Inequivalent atoms, fractional coordinates:
Ce  0.0000  0.0000  0.0000 x1
Tc  0.0000  0.5000  0.5000 x2
W  0.5000  0.5000  0.0000 x1


Record 9
First-principles (PBE-GGA) data for crystalline CeTc2W at its relaxed geometry, as listed in Alexandria.

Output
- total magnetization (μB per atom) = 0.0000
- energy of formation (kcal/mol of atoms) = 1.02
- DOS at the Fermi energy (states/eV/f.u.) = 5.142
- volume (A^3/atom) = 17.836

Cell lengths 3.1529, 3.1529, 7.1767 Å; angles 90.00, 90.00, 90.00 degrees
Space group P4/mmm (No. 123)
Inequivalent atoms, fractional coordinates:
Ce  0.0000  0.0000  0.0000 x1
Tc  0.5000  0.5000  0.2896 x2
W  0.0000  0.0000  0.5000 x1


Record 10
First-principles (PBE-GGA) data for crystalline Ce3YTc at its relaxed geometry, as listed in Alexandria.

Output
- polymorph energy (0 for the lowest one) (meV per atom) = 0
- total magnetization (μB per atom) = 0.0000
- energy of formation (kcal/mol of atoms) = 0.06
- DOS at the Fermi energy (states/eV/f.u.) = 10.975
- volume (A^3/atom) = 26.969

Cell lengths 11.2092, 8.3434, 5.8980 Å; angles 90.00, 102.08, 90.00 degrees
Space group C2/m (No. 12)
Inequivalent atoms, fractional coordinates:
Ce  0.0924  0.0000  0.2813 x4
Ce  0.1280  0.2041  0.7834 x8
Y  0.0988  0.5000  0.2983 x4
Tc  0.1897  0.5000  0.8559 x4


Record 11
First-principles (PBE-GGA) data for crystalline CeY2Tc at its relaxed geometry, as listed in Alexandria.

Output
- polymorph energy (0 for the lowest one) (meV per atom) = 0
- total magnetization (μB per atom) = 0.0000
- energy of formation (kcal/mol of atoms) = -4.11
- DOS at the Fermi energy (states/eV/f.u.) = 5.615
- volume (A^3/atom) = 27.489

Cell lengths 7.1860, 9.6552, 6.3391 Å; angles 90.00, 90.00, 90.00 degrees
Space group Pnma (No. 62)
Inequivalent atoms, fractional coordinates:
Ce  0.0558  0.2500  0.1463 x4
Y  0.1758  0.0654  0.6721 x8
Tc  0.1353  0.7500  0.5064 x4


Record 12
First-principles (PBE-GGA) data for crystalline Ce3Y2Tc2 at its relaxed geometry, as listed in Alexandria.

Output
- total magnetization (μB per atom) = 0.0000
- energy of formation (kcal/mol of atoms) = -1.80
- DOS at the Fermi energy (states/eV/f.u.) = 11.439
- volume (A^3/atom) = 25.333

Cell lengths 11.5590, 3.8814, 8.5312 Å; angles 90.00, 112.09, 90.00 degrees
Space group C2/m (No. 12)
Inequivalent atoms, fractional coordinates:
Ce  0.0000  0.0000  0.0000 x2
Ce  0.1155  0.0000  0.4273 x4
Y  0.1628  0.5000  0.8092 x4
Tc  0.1448  0.5000  0.2312 x4